(1)
Entry from the Open Quantum Materials Database: a geometry-optimized CdSiPd2 structure (GGA-PBE).

The volume is 16.2 Å³ per atom. Its total energy is -17.1 eV per cell. Its crystal system is cubic. Its space group is F-43m, No. 216.

Cell: 4.5070 4.5070 4.5070 Å, 60.00 60.00 60.00°
Closest atoms and distances in Å follow each position.
Fractional coordinates of all 4 atoms:
Pd 0.0000 0.0000 0.0000  4 Cd 2.76, 4 Pd 2.76
Cd 0.2500 0.2500 0.2500  4 Pd 2.76, 4 Si 2.76
Pd 0.7500 0.7500 0.7500  4 Si 2.76, 4 Pd 2.76
Si 0.5000 0.5000 0.5000  4 Pd 2.76, 4 Cd 2.76

---

(2)
Entry from the Open Quantum Materials Database: a geometry-optimized CdSiPd structure (GGA-PBE).

The volume is 18.5 Å³ per atom. Its total energy is -11.7 eV per cell. Its crystal system is cubic. Its space group is F-43m, No. 216.

Cell: 4.2782 4.2782 4.2782 Å, 60.00 60.00 60.00°
Closest atoms and distances in Å follow each position.
Fractional coordinates of all 3 atoms:
Cd 0.2500 0.2500 0.2500  4 Si 2.62
Si 0.0000 0.0000 0.0000  4 Pd 2.62, 4 Cd 2.62
Pd 0.7500 0.7500 0.7500  4 Si 2.62

---

(3)
Entry from the Open Quantum Materials Database: a geometry-optimized Cd2Sn2Pd3 structure (GGA-PBE).

The volume is 19.6 Å³ per atom. Its total energy is -28.3 eV per cell. Its crystal system is trigonal. Its space group is R3m, No. 160.

Cell: 7.9128 7.9128 7.9128 Å, 33.91 33.91 33.91°
Closest atoms and distances in Å follow each position.
Fractional coordinates of all 7 atoms:
Sn 0.5027 0.5027 0.5027  5 Pd 2.78-2.86
Cd 0.7552 0.7552 0.7552  7 Pd 2.77-2.87
Pd 0.1228 0.1228 0.1228  4 Cd 2.75-2.77, 4 Sn 2.82-2.86
Cd 0.2458 0.2458 0.2458  5 Pd 2.75-2.88
Sn 0.9965 0.9965 0.9965  7 Pd 2.78-2.85
Pd 0.3748 0.3748 0.3748  4 Sn 2.85-2.86, 4 Cd 2.87-2.88
Pd 0.6272 0.6272 0.6272  4 Sn 2.78, 4 Cd 2.86-2.87

---

(4)
Entry from the Open Quantum Materials Database: a geometry-optimized CdSn2Pd structure (GGA-PBE).

The volume is 22.3 Å³ per atom. Its total energy is -14.1 eV per cell. Its crystal system is cubic. Its space group is F-43m, No. 216.

Cell: 5.0155 5.0155 5.0155 Å, 60.00 60.00 60.00°
Closest atoms and distances in Å follow each position.
Fractional coordinates of all 4 atoms:
Cd 0.7500 0.7500 0.7500  4 Pd 3.07, 4 Sn 3.07
Sn 0.2500 0.2500 0.2500  4 Pd 3.07, 4 Sn 3.07
Sn 0.0000 0.0000 0.0000  4 Sn 3.07, 4 Cd 3.07
Pd 0.5000 0.5000 0.5000  4 Sn 3.07, 4 Cd 3.07

---

(5)
Entry from the Open Quantum Materials Database: a geometry-optimized Cd2SnPd structure (GGA-PBE).

The volume is 20.5 Å³ per atom. Its total energy is -11.3 eV per cell. Its crystal system is cubic. Its space group is F-43m, No. 216.

Cell: 4.8798 4.8798 4.8798 Å, 60.00 60.00 60.00°
Closest atoms and distances in Å follow each position.
Fractional coordinates of all 4 atoms:
Sn 0.5000 0.5000 0.5000  4 Cd 2.99, 4 Pd 2.99
Cd 0.0000 0.0000 0.0000  4 Cd 2.99, 4 Pd 2.99
Cd 0.7500 0.7500 0.7500  4 Cd 2.99, 4 Sn 2.99
Pd 0.2500 0.2500 0.2500  4 Cd 2.99, 4 Sn 2.99

---

(6)
Entry from the Open Quantum Materials Database: a geometry-optimized SrCdPd2 structure (GGA-PBE).

The volume is 21.5 Å³ per atom. Its total energy is -14.0 eV per cell. Its crystal system is cubic. Its space group is F-43m, No. 216.

Cell: 4.9558 4.9558 4.9558 Å, 60.00 60.00 60.00°
Closest atoms and distances in Å follow each position.
Fractional coordinates of all 4 atoms:
Cd 0.7500 0.7500 0.7500  4 Sr 3.03, 4 Pd 3.03
Pd 0.5000 0.5000 0.5000  4 Pd 3.03, 4 Cd 3.03
Pd 0.2500 0.2500 0.2500  4 Pd 3.03, 4 Sr 3.03
Sr 0.0000 0.0000 0.0000  4 Cd 3.03, 4 Pd 3.03

---

(7)
Entry from the Open Quantum Materials Database: a geometry-optimized Sr2CdPd structure (GGA-PBE).

The volume is 26.5 Å³ per atom. Its total energy is -10.2 eV per cell. Its crystal system is cubic. Its space group is F-43m, No. 216.

Cell: 5.3152 5.3152 5.3152 Å, 60.00 60.00 60.00°
Closest atoms and distances in Å follow each position.
Fractional coordinates of all 4 atoms:
Sr 0.2500 0.2500 0.2500  4 Cd 3.25, 4 Sr 3.25
Sr 0.0000 0.0000 0.0000  4 Pd 3.25, 4 Sr 3.25
Cd 0.5000 0.5000 0.5000  4 Sr 3.25, 4 Pd 3.25
Pd 0.7500 0.7500 0.7500  4 Cd 3.25, 4 Sr 3.25

---

(8)
Entry from the Open Quantum Materials Database: a geometry-optimized Sr2CdPd2 structure (GGA-PBE).

The volume is 28.5 Å³ per atom. Its total energy is -16.8 eV per cell. Its crystal system is tetragonal. Its space group is I4/mmm, No. 139.

Cell: 5.8384 5.8384 5.8384 Å, 119.19 119.19 91.40°
Closest atoms and distances in Å follow each position.
Fractional coordinates of all 5 atoms:
Sr 0.2500 0.7500 0.5000  4 Pd 3.04
Sr 0.7500 0.2500 0.5000  4 Pd 3.04
Pd 0.6624 0.6624 0.0000  1 Pd 2.65, 1 Cd 2.75
Cd 0.0000 0.0000 0.0000  2 Pd 2.75
Pd 0.3376 0.3376 0.0000  1 Pd 2.65, 1 Cd 2.75

---

(9)
Entry from the Open Quantum Materials Database: a geometry-optimized SrCd4Pd structure (GGA-PBE).

The volume is 24.1 Å³ per atom. Its total energy is -25.3 eV per cell. Its crystal system is orthorhombic. Its space group is Pmma, No. 51.

Cell: 8.8440 4.3136 7.5742 Å, 90.00 90.00 90.00°
Closest atoms and distances in Å follow each position.
Fractional coordinates of all 12 atoms:
Cd 0.0000 0.0000 0.5000  2 Pd 2.70
Cd 0.9456 0.5000 0.8062  2 Pd 2.87, 4 Cd 3.09-3.21
Cd 0.5544 0.5000 0.8062  2 Pd 2.87, 4 Cd 3.09-3.21
Cd 0.4456 0.5000 0.1939  2 Pd 2.87, 4 Cd 3.09-3.21
Cd 0.2500 0.5000 0.5505  2 Pd 2.90, 6 Cd 3.11-3.21
Pd 0.7500 0.0000 0.7051  8 Cd 2.70-2.90, 1 Sr 2.99
Cd 0.0544 0.5000 0.1939  2 Pd 2.87, 4 Cd 3.09-3.21
Sr 0.7500 0.0000 0.1004  1 Pd 2.99
Cd 0.5000 0.0000 0.5000  2 Pd 2.70
Cd 0.7500 0.5000 0.4495  2 Pd 2.90, 6 Cd 3.11-3.21
Sr 0.2500 0.0000 0.8996  1 Pd 2.99
Pd 0.2500 0.0000 0.2949  8 Cd 2.70-2.90, 1 Sr 2.99

---

(10)
Entry from the Open Quantum Materials Database: a geometry-optimized SrCd8Pd4 structure (GGA-PBE).

The volume is 20.6 Å³ per atom. Its total energy is -34.6 eV per cell. Its crystal system is tetragonal. Its space group is I4/mmm, No. 139.

Cell: 7.3992 7.3992 7.3992 Å, 98.72 98.72 134.16°
Closest atoms and distances in Å follow each position.
Fractional coordinates of all 13 atoms:
Pd 0.5000 0.5000 0.5000  8 Cd 2.82-2.94, 2 Pd 2.88
Cd 0.3403 0.0000 0.3403  4 Pd 2.94, 5 Cd 3.08-3.10, 1 Sr 3.28
Pd 0.0000 0.0000 0.5000  8 Cd 2.82-2.94, 2 Pd 2.88
Cd 0.6597 0.0000 0.6597  4 Pd 2.94, 5 Cd 3.08-3.10, 1 Sr 3.28
Pd 0.5000 0.0000 0.0000  8 Cd 2.82-2.94, 2 Pd 2.88
Cd 0.5000 0.7215 0.2215  4 Pd 2.82, 6 Cd 3.02-3.10
Cd 0.0000 0.6597 0.6597  4 Pd 2.94, 5 Cd 3.08-3.10, 1 Sr 3.28
Pd 0.0000 0.5000 0.0000  8 Cd 2.82-2.94, 2 Pd 2.88
Cd 0.7215 0.5000 0.2215  4 Pd 2.82, 6 Cd 3.02-3.10
Cd 0.0000 0.3403 0.3403  4 Pd 2.94, 5 Cd 3.08-3.10, 1 Sr 3.28
Cd 0.5000 0.2785 0.7785  4 Pd 2.82, 6 Cd 3.02-3.10
Cd 0.2785 0.5000 0.7785  4 Pd 2.82, 6 Cd 3.02-3.10
Sr 0.0000 0.0000 0.0000  12 Cd 3.28-3.59

---

(11)
Entry from the Open Quantum Materials Database: a geometry-optimized TbCdPd structure (GGA-PBE).

The volume is 24.7 Å³ per atom. Its total energy is -12.4 eV per cell. Its crystal system is cubic. Its formation energy is -0.573 eV/atom. Its space group is F-43m, No. 216.

Cell: 4.7138 4.7138 4.7138 Å, 60.00 60.00 60.00°
Closest atoms and distances in Å follow each position.
Fractional coordinates of all 3 atoms:
Pd 0.0000 0.0000 0.0000  4 Cd 2.89, 4 Tb 2.89
Cd 0.2500 0.2500 0.2500  4 Pd 2.89
Tb 0.7500 0.7500 0.7500  4 Pd 2.89

---

(12)
Entry from the Open Quantum Materials Database: a geometry-optimized CdTcPd structure (GGA-PBE).

The volume is 19.3 Å³ per atom. Its total energy is -14.5 eV per cell. Its crystal system is cubic. Its formation energy is 0.632 eV/atom. Its space group is F-43m, No. 216.

Cell: 4.3404 4.3404 4.3404 Å, 60.00 60.00 60.00°
Closest atoms and distances in Å follow each position.
Fractional coordinates of all 3 atoms:
Pd 0.0000 0.0000 0.0000  4 Cd 2.66, 4 Tc 2.66
Tc 0.7500 0.7500 0.7500  4 Pd 2.66
Cd 0.2500 0.2500 0.2500  4 Pd 2.66

---

(13)
Entry from the Open Quantum Materials Database: a geometry-optimized CdTc2Pd structure (GGA-PBE).

The volume is 16.1 Å³ per atom. Its total energy is -25.3 eV per cell. Its crystal system is cubic. Its formation energy is 0.367 eV/atom. Its space group is F-43m, No. 216.

Cell: 4.4955 4.4955 4.4955 Å, 60.00 60.00 60.00°
Closest atoms and distances in Å follow each position.
Fractional coordinates of all 4 atoms:
Pd 0.5000 0.5000 0.5000  4 Tc 2.75, 4 Cd 2.75
Tc 0.7500 0.7500 0.7500  4 Pd 2.75, 4 Tc 2.75
Tc 0.0000 0.0000 0.0000  4 Tc 2.75, 4 Cd 2.75
Cd 0.2500 0.2500 0.2500  4 Pd 2.75, 4 Tc 2.75

---

(14)
Entry from the Open Quantum Materials Database: a geometry-optimized CdTe2Pd structure (GGA-PBE).

The volume is 23.6 Å³ per atom. Its total energy is -11.5 eV per cell. Its crystal system is cubic. Its space group is F-43m, No. 216.

Cell: 5.1084 5.1084 5.1084 Å, 60.00 60.00 60.00°
Closest atoms and distances in Å follow each position.
Fractional coordinates of all 4 atoms:
Te 0.0000 0.0000 0.0000  4 Te 3.13, 4 Pd 3.13
Pd 0.7500 0.7500 0.7500  4 Cd 3.13, 4 Te 3.13
Te 0.2500 0.2500 0.2500  4 Cd 3.13, 4 Te 3.13
Cd 0.5000 0.5000 0.5000  4 Te 3.13, 4 Pd 3.13

---

(15)
Entry from the Open Quantum Materials Database: a geometry-optimized ThCdPd structure (GGA-PBE).

The volume is 26.1 Å³ per atom. Its total energy is -14.8 eV per cell. Its crystal system is cubic. Its formation energy is -0.446 eV/atom. Its space group is F-43m, No. 216.

Cell: 4.8030 4.8030 4.8030 Å, 60.00 60.00 60.00°
Closest atoms and distances in Å follow each position.
Fractional coordinates of all 3 atoms:
Cd 0.0000 0.0000 0.0000  4 Pd 2.94
Th 0.5000 0.5000 0.5000  4 Pd 2.94
Pd 0.7500 0.7500 0.7500  4 Cd 2.94, 4 Th 2.94

---

(16)
Entry from the Open Quantum Materials Database: a geometry-optimized ThCdPd6 structure (GGA-PBE).

The volume is 17.6 Å³ per atom. Its total energy is -44.5 eV per cell. Its crystal system is hexagonal. Its formation energy is -0.642 eV/atom. Its space group is P-6m2, No. 187.

Cell: 4.7028 5.8871 5.8871 Å, 59.99 90.00 90.00°
Closest atoms and distances in Å follow each position.
Fractional coordinates of all 8 atoms:
Pd 0.5000 0.9197 0.4153  8 Pd 2.88-2.97, 2 Cd 2.91, 2 Th 2.94
Th 0.5000 0.9168 0.9168  12 Pd 2.93-2.94
Pd 0.0000 0.5732 0.0884  8 Pd 2.85-3.03, 2 Th 2.93, 2 Cd 2.94-2.95
Pd 0.5000 0.4153 0.9197  8 Pd 2.88-2.97, 2 Cd 2.91, 2 Th 2.94
Cd 0.0000 0.5832 0.5832  12 Pd 2.91-2.95
Pd 0.0000 0.0886 0.0886  8 Pd 2.85-3.03, 2 Th 2.93, 2 Cd 2.94
Pd 0.5000 0.4152 0.4152  8 Pd 2.88-2.97, 2 Cd 2.91, 2 Th 2.94
Pd 0.0000 0.0884 0.5732  8 Pd 2.85-3.03, 2 Th 2.93, 2 Cd 2.94-2.95

---

(17)
Entry from the Open Quantum Materials Database: a geometry-optimized TlCd2Pd structure (GGA-PBE).

The volume is 20.7 Å³ per atom. Its total energy is -9.5 eV per cell. Its crystal system is cubic. Its space group is F-43m, No. 216.

Cell: 4.8937 4.8937 4.8937 Å, 60.00 60.00 60.00°
Closest atoms and distances in Å follow each position.
Fractional coordinates of all 4 atoms:
Pd 0.2500 0.2500 0.2500  4 Tl 3.00, 4 Cd 3.00
Cd 0.7500 0.7500 0.7500  4 Tl 3.00, 4 Cd 3.00
Cd 0.0000 0.0000 0.0000  4 Pd 3.00, 4 Cd 3.00
Tl 0.5000 0.5000 0.5000  4 Pd 3.00, 4 Cd 3.00

---

(18)
Entry from the Open Quantum Materials Database: a geometry-optimized Tm2CdPd2 structure (GGA-PBE).

The volume is 21.5 Å³ per atom. Its total energy is -48.7 eV per cell. Its crystal system is tetragonal. Its formation energy is -0.831 eV/atom. Its space group is P4/mbm, No. 127.

Cell: 7.6932 7.6932 3.6265 Å, 90.00 90.00 90.00°
Closest atoms and distances in Å follow each position.
Fractional coordinates of all 10 atoms:
Pd 0.1304 0.3696 0.0000  1 Pd 2.84, 6 Tm 2.84-2.94, 2 Cd 3.02
Tm 0.6688 0.8312 0.5000  6 Pd 2.84-2.94
Tm 0.3312 0.1688 0.5000  6 Pd 2.84-2.94
Tm 0.8312 0.3312 0.5000  6 Pd 2.84-2.94
Pd 0.6304 0.1304 0.0000  1 Pd 2.84, 6 Tm 2.84-2.94, 2 Cd 3.02
Tm 0.1688 0.6688 0.5000  6 Pd 2.84-2.94
Cd 0.5000 0.5000 0.0000  4 Pd 3.02
Pd 0.3696 0.8696 0.0000  1 Pd 2.84, 6 Tm 2.84-2.94, 2 Cd 3.02
Pd 0.8696 0.6304 0.0000  1 Pd 2.84, 6 Tm 2.84-2.94, 2 Cd 3.02
Cd 0.0000 0.0000 0.0000  4 Pd 3.02

---

(19)
Entry from the Open Quantum Materials Database: a geometry-optimized CdPdW structure (GGA-PBE).

The volume is 19.2 Å³ per atom. Its total energy is -17.0 eV per cell. Its crystal system is cubic. Its formation energy is 0.671 eV/atom. Its space group is F-43m, No. 216.

Cell: 4.3314 4.3314 4.3314 Å, 60.00 60.00 60.00°
Closest atoms and distances in Å follow each position.
Fractional coordinates of all 3 atoms:
W 0.7500 0.7500 0.7500  4 Pd 2.65
Cd 0.2500 0.2500 0.2500  4 Pd 2.65
Pd 0.0000 0.0000 0.0000  4 W 2.65, 4 Cd 2.65

---

(20)
Entry from the Open Quantum Materials Database: a geometry-optimized CdPdW structure (GGA-PBE).

The volume is 20.1 Å³ per atom. Its total energy is -16.0 eV per cell. Its crystal system is cubic. Its formation energy is 1.018 eV/atom. Its space group is F-43m, No. 216.

Cell: 4.4027 4.4027 4.4027 Å, 60.00 60.00 60.00°
Closest atoms and distances in Å follow each position.
Fractional coordinates of all 3 atoms:
Pd 0.7500 0.7500 0.7500  4 W 2.70
Cd 0.2500 0.2500 0.2500  4 W 2.70
W 0.0000 0.0000 0.0000  4 Pd 2.70, 4 Cd 2.70